Arrangement one

Al2V6Ge after structural relaxation, computed with GGA-PBE.

abc: 2.6240 9.2625 7.4379
angles: 45.38 99.49 101.41
Last column: nearest neighbours and their distance in Å.
Sites, in units of the cell vectors:
Al1 0.5008 0.1833 0.2526  8 V 2.60-2.85, 3 Al 2.62-2.74
Al2 0.4992 0.8167 0.7474  8 V 2.60-2.85, 3 Al 2.62-2.74
V1 0.9707 0.4960 0.1775  5 V 2.57-2.62, 1 Ge 2.59, 3 Al 2.60-2.73
V2 0.0293 0.5040 0.8225  5 V 2.57-2.62, 1 Ge 2.59, 3 Al 2.60-2.73
V3 0.7953 0.8463 0.3890  5 V 2.57-2.62, 1 Ge 2.66, 4 Al 2.71-2.85
V4 0.9984 0.1701 0.9244  6 V 2.49-2.62, 1 Al 2.65, 2 Ge 2.70-2.77
V5 0.0016 0.8299 0.0756  6 V 2.49-2.62, 1 Al 2.65, 2 Ge 2.70-2.77
V6 0.2047 0.1537 0.6110  5 V 2.57-2.62, 1 Ge 2.66, 4 Al 2.71-2.85
Ge1 0.5000 0.5000 0.5000  8 V 2.59-2.77, 2 Ge 2.62

Summary:
Mass density, Mg/m³: 5.69
M_tot, μB per formula unit: 0.0
D(E_F), states/eV per cell: 8.5
Crystal system: triclinic



Arrangement two

Al2V6Ge after structural relaxation, computed with GGA-PBE.

abc: 7.0297 7.0297 7.0297
angles: 101.23 114.31 113.18
Last column: nearest neighbours and their distance in Å.
Sites, in units of the cell vectors:
Al1 0.5000 0.3604 0.8604  8 V 2.47-2.55, 1 Al 2.49
Al2 0.5000 0.6396 0.1396  8 V 2.47-2.55, 1 Al 2.49
Al3 0.6601 0.0000 0.6601  1 Al 2.44, 8 V 2.54-2.69, 1 Ge 2.59
Al4 0.3399 0.0000 0.3399  1 Al 2.44, 8 V 2.54-2.69, 1 Ge 2.59
V1 0.4838 0.6967 0.7871  3 Al 2.54-2.55, 1 Ge 2.67, 4 V 2.73
V2 0.5162 0.3033 0.2129  3 Al 2.54-2.55, 1 Ge 2.67, 4 V 2.73
V3 0.0904 0.3033 0.7871  3 Al 2.54-2.55, 1 Ge 2.67, 4 V 2.73
V4 0.9096 0.6967 0.2129  3 Al 2.54-2.55, 1 Ge 2.67, 4 V 2.73
V5 0.8120 0.7388 0.5507  2 Al 2.54-2.60, 4 V 2.57-2.73, 2 Ge 2.57-2.74
V6 0.1880 0.2612 0.4493  2 Al 2.54-2.60, 4 V 2.57-2.73, 2 Ge 2.57-2.74
V7 0.1880 0.7388 0.9268  2 Al 2.54-2.60, 4 V 2.57-2.73, 2 Ge 2.57-2.74
V8 0.8120 0.2612 0.0732  2 Al 2.54-2.60, 4 V 2.57-2.73, 2 Ge 2.57-2.74
V9 0.7355 0.4092 0.6737  3 Al 2.47-2.69, 4 V 2.57-2.73, 1 Ge 2.57
V10 0.2645 0.5908 0.3263  3 Al 2.47-2.69, 4 V 2.57-2.73, 1 Ge 2.57
V11 0.2645 0.9382 0.6737  3 Al 2.47-2.69, 4 V 2.57-2.73, 1 Ge 2.57
V12 0.7355 0.0618 0.3263  3 Al 2.47-2.69, 4 V 2.57-2.73, 1 Ge 2.57
Ge1 0.0000 0.5000 0.5000  12 V 2.57-2.67
Ge2 0.0000 0.0000 0.0000  2 Al 2.59, 8 V 2.74-2.85

Summary:
Mass density, Mg/m³: 5.45
M_tot, μB per formula unit: 0.0
D(E_F), states/eV per cell: 17.4
Crystal system: orthorhombic



Which one is the least stable? From the structures above, arrangement two.